(1)
Compound: CeNdErTh
Source: the Alexandria database
Functional: PBE
Structure: optimized geometry

extended XYZ file:
```
16
Lattice="8.016 0.000 0.000 0.000 8.016 0.000 0.000 0.000 8.016" Properties=species:S:1:pos:R:3 pbc="T T T"
Ce 0.000 0.000 0.000
Ce 0.000 4.008 4.008
Ce 4.008 0.000 4.008
Ce 4.008 4.008 0.000
Nd 2.004 2.004 6.012
Nd 2.004 6.012 2.004
Nd 6.012 2.004 2.004
Nd 6.012 6.012 6.012
Er 0.000 0.000 4.008
Er 0.000 4.008 0.000
Er 4.008 0.000 0.000
Er 4.008 4.008 4.008
Th 2.004 2.004 2.004
Th 2.004 6.012 6.012
Th 6.012 2.004 6.012
Th 6.012 6.012 2.004
```

**M_tot**: 6.7 μB per cell
**Uncorrected energy**: -87.19 eV/cell
**Energy relative to the elements**: 0.22 eV/atom

=====

(2)
Compound: V2InRh2
Source: the Alexandria database
Functional: PBE
Structure: optimized geometry

extended XYZ file:
```
10
Lattice="3.830 0.000 0.000 0.000 3.830 0.000 0.000 0.000 11.415" Properties=species:S:1:pos:R:3 pbc="T T T"
V 0.000 1.915 2.854
V 0.000 1.915 8.561
V 1.915 0.000 2.854
V 1.915 0.000 8.561
In 0.000 0.000 0.000
In 1.915 1.915 5.708
Rh 0.000 0.000 4.440
Rh 0.000 0.000 6.976
Rh 1.915 1.915 1.268
Rh 1.915 1.915 10.147
```

**M_tot**: 0.0 μB per cell
**Uncorrected energy**: -72.12 eV/cell
**Energy relative to the elements**: -0.08 eV/atom

=====

(3)
Compound: MgSb2Pt
Source: the Alexandria database
Functional: PBE
Structure: optimized geometry

extended XYZ file:
```
8
Lattice="9.367 0.000 0.000 0.000 3.810 0.000 -1.827 0.000 5.609" Properties=species:S:1:pos:R:3 pbc="T T T"
Mg 0.000 0.000 0.000
Mg 4.683 1.905 0.000
Sb 0.204 0.000 3.375
Sb 2.655 0.000 1.527
Sb 4.887 1.905 3.375
Sb 7.338 1.905 1.527
Pt 0.211 1.905 5.271
Pt 4.895 0.000 5.271
```

**M_tot**: 0.0 μB per cell
**Formation energy from raw total energies**: -0.323 eV/atom
**Uncorrected energy**: -34.35 eV/cell

=====

(4)
Compound: Al3AgAs
Source: the Alexandria database
Functional: PBE
Structure: optimized geometry

extended XYZ file:
```
5
Lattice="4.833 0.000 0.000 0.000 4.833 0.000 0.000 0.000 4.833" Properties=species:S:1:pos:R:3 pbc="T T T"
Al 0.000 0.000 2.416
Al 0.000 2.416 0.000
Al 2.416 0.000 0.000
Ag 0.000 0.000 0.000
As 2.416 2.416 2.416
```

**M_tot**: 0.0 μB per cell
**Uncorrected energy**: -16.07 eV/cell
**Energy relative to the elements**: 0.53 eV/atom

=====

(5)
Compound: ReSn
Source: the Alexandria database
Functional: PBE
Structure: optimized geometry

extended XYZ file:
```
8
Lattice="5.518 0.000 0.000 0.000 5.518 0.000 0.000 0.000 5.518" Properties=species:S:1:pos:R:3 pbc="T T T"
Re 0.000 0.000 0.000
Re 0.000 2.759 2.759
Re 2.759 0.000 2.759
Re 2.759 2.759 0.000
Sn 0.000 0.000 2.759
Sn 0.000 2.759 0.000
Sn 2.759 0.000 0.000
Sn 2.759 2.759 2.759
```

**M_tot**: 7.3 μB per cell
**Uncorrected energy**: -55.11 eV/cell
**Energy relative to the elements**: 1.34 eV/atom

=====

(6)
Compound: AlPIr
Source: the Alexandria database
Functional: PBE
Structure: optimized geometry

extended XYZ file:
```
3
Lattice="4.124 0.000 0.000 -2.062 3.572 0.000 0.000 0.000 2.911" Properties=species:S:1:pos:R:3 pbc="T T T"
Al 0.000 0.000 0.000
P 0.000 2.381 1.456
Ir 2.062 1.191 1.456
```

**M_tot**: 0.0 μB per cell
**Uncorrected energy**: -18.93 eV/cell
**Energy relative to the elements**: -0.30 eV/atom

=====

Question: Which formula does entry 6 have?
Answer: AlPIr